(1)
{"formula": "Pm9Nd4Zn11", "functional": "GGA-PBE", "state": "optimized geometry", "cell": [[3.571, 0.000, 0.000], [0.000, 12.513, -4.779], [0.000, 0.523, 13.384]], "species": ["Nd", "Pm", "Zn", "Pm", "Zn", "Pm", "Pm", "Zn", "Pm", "Zn", "Zn", "Zn", "Zn", "Nd", "Pm", "Zn", "Pm", "Nd", "Pm", "Zn", "Zn", "Zn", "Nd", "Pm"], "frac_coords": [[0.500, 0.247, 0.423], [0.500, 0.853, 0.379], [0.000, 0.051, 0.415], [0.500, 0.977, 0.795], [0.000, 0.176, 0.824], [0.500, 0.795, 0.977], [0.500, 0.023, 0.205], [0.000, 0.220, 0.220], [0.500, 0.500, 0.500], [0.000, 0.632, 0.368], [0.000, 0.824, 0.176], [0.000, 0.780, 0.780], [0.000, 0.415, 0.051], [0.500, 0.577, 0.753], [0.500, 0.205, 0.023], [0.000, 0.368, 0.632], [0.500, 0.147, 0.621], [0.500, 0.753, 0.577], [0.500, 0.621, 0.147], [0.000, 0.949, 0.585], [0.000, 0.585, 0.949], [0.000, 0.000, 0.000], [0.500, 0.423, 0.247], [0.500, 0.379, 0.853]], "mass_density_kg_m3": 7118, "spacegroup": "Cmmm", "magnetic_moment_mub_per_fu": 0.0, "delta_e_f_ev_per_fu": -5.62}


(2)
{"formula": "Pm6NdZn2", "functional": "GGA-PBE", "state": "optimized geometry", "cell": [[0.328, 1.742, 3.284], [-4.030, -3.183, 4.210], [7.126, -7.661, 5.472]], "species": ["Pm", "Nd", "Zn", "Zn", "Pm", "Pm", "Pm", "Pm", "Pm"], "frac_coords": [[0.690, 0.495, 0.125], [0.000, 0.000, 0.000], [0.648, 0.908, 0.795], [0.352, 0.092, 0.205], [0.310, 0.505, 0.875], [0.688, 0.214, 0.410], [0.025, 0.279, 0.670], [0.975, 0.721, 0.330], [0.312, 0.786, 0.590]], "mass_density_kg_m3": 7006, "spacegroup": "C2/m", "magnetic_moment_mub_per_fu": 0.0, "delta_e_f_ev_per_fu": -1.21}


(3)
{"formula": "Pm2Nd8Zn", "functional": "GGA-PBE", "state": "optimized geometry", "cell": [[5.508, 0.000, -1.581], [-0.100, 6.577, -0.350], [-0.062, -0.019, 10.167]], "species": ["Nd", "Nd", "Pm", "Nd", "Nd", "Pm", "Nd", "Nd", "Nd", "Nd", "Zn"], "frac_coords": [[0.039, 0.252, 0.079], [0.155, 0.808, 0.311], [0.763, 0.667, 0.526], [0.579, 0.609, 0.158], [0.345, 0.880, 0.690], [0.237, 0.333, 0.474], [0.845, 0.192, 0.689], [0.655, 0.120, 0.310], [0.961, 0.748, 0.921], [0.421, 0.391, 0.842], [0.500, 0.000, 0.000]], "mass_density_kg_m3": 6818, "spacegroup": "C2/m", "magnetic_moment_mub_per_fu": 0.0, "de_polymorph_mev_per_atom": 0.0, "delta_e_f_ev_per_fu": -0.13}


(4)
{"formula": "Pm4NdZn", "functional": "GGA-PBE", "state": "optimized geometry", "cell": [[3.523, 0.008, -1.043], [-0.013, 5.138, -0.005], [-2.488, 0.004, 11.162]], "species": ["Pm", "Pm", "Zn", "Nd", "Pm", "Pm"], "frac_coords": [[0.274, 0.997, 0.196], [0.011, 0.497, 0.344], [0.143, 0.997, 0.503], [0.471, 0.497, 0.994], [0.904, 0.497, 0.631], [0.706, 0.997, 0.820]], "mass_density_kg_m3": 6948, "spacegroup": "Pm", "magnetic_moment_mub_per_fu": 0.0, "de_polymorph_mev_per_atom": 90.0, "delta_e_f_ev_per_fu": -0.04}


(5)
{"formula": "Pm2Nd3Zn2", "functional": "GGA-PBE", "state": "optimized geometry", "cell": [[-1.518, 2.457, -2.322], [-3.317, -0.894, 1.223], [1.822, 9.693, 12.024]], "species": ["Zn", "Nd", "Nd", "Pm", "Nd", "Pm", "Zn"], "frac_coords": [[0.144, 0.000, 0.289], [0.414, 0.500, 0.829], [0.586, 0.500, 0.171], [0.701, 0.500, 0.402], [0.000, 0.000, 0.000], [0.299, 0.500, 0.598], [0.856, 0.000, 0.711]], "mass_density_kg_m3": 6793, "spacegroup": "Cmmm", "magnetic_moment_mub_per_fu": 0.7, "de_polymorph_mev_per_atom": 8.9, "delta_e_f_ev_per_fu": -0.81}


(6)
{"formula": "Pm2NdZn3", "functional": "GGA-PBE", "state": "optimized geometry", "cell": [[-1.339, 4.652, -1.850], [-2.169, -4.285, -1.947], [-4.637, 0.383, 4.322]], "species": ["Zn", "Zn", "Zn", "Nd", "Pm", "Pm"], "frac_coords": [[0.000, 0.000, 0.500], [0.333, 0.667, 0.168], [0.667, 0.333, 0.832], [0.000, 0.000, 0.000], [0.667, 0.333, 0.334], [0.333, 0.667, 0.666]], "mass_density_kg_m3": 7089, "spacegroup": "P-3m1", "magnetic_moment_mub_per_fu": 0.0, "de_polymorph_mev_per_atom": 0.0, "delta_e_f_ev_per_fu": -1.89}